# 1
A PBEsol-optimized structure of CaPt3W, computed with SCAN.

Cell: 4.840 4.840 4.840 Å, 90.00 90.00 90.00°
Space group Pm-3m (No. 221)
Unique sites:
1 Ca 0.000 0.000 0.000 (multiplicity 1)
2 Pt 0.000 0.500 0.500 (multiplicity 3)
3 W 0.500 0.500 0.500 (multiplicity 1)

Summary:
Calculated formation energy, eV/f.u.: 0.7
N(E_F), states/eV per atom: 0.633

---

# 2
A PBEsol-optimized structure of YZrZn2, computed with SCAN.

Cell: 3.3647 3.3647 25.8906 Å, 90.00 90.00 120.00°
Space group R3m (No. 160, hexagonal axes)
Unique sites:
1 Y 0.0000 0.0000 0.0000 (multiplicity 3)
2 Zr 0.0000 0.0000 0.7674 (multiplicity 3)
3 Zn 0.0000 0.0000 0.2444 (multiplicity 3)
4 Zn 0.0000 0.0000 0.5146 (multiplicity 3)

Summary:
Calculated formation energy, eV/f.u.: 0.2
N(E_F), states/eV per atom: 0.820

---

# 3
A PBEsol-optimized structure of Fe2SbAu, computed with SCAN.

Cell: 2.9863 2.9863 24.2795 Å, 90.00 90.00 120.00°
Space group R-3m (No. 166, hexagonal axes)
Unique sites:
1 Fe 0.0000 0.0000 0.2504 (multiplicity 6)
2 Sb 0.0000 0.0000 0.0000 (multiplicity 3)
3 Au 0.0000 0.0000 0.5000 (multiplicity 3)

Summary:
N(E_F), states/eV per atom: 1.120
Uncorrected formation energy, kJ per mole of atoms: 40

---

# 4
A PBEsol-optimized structure of CoIr2Au, computed with SCAN.

Cell: 2.721 2.721 7.502 Å, 90.00 90.00 90.00°
Space group P4mm (No. 99)
Unique sites:
1 Co 0.000 0.000 0.000 (multiplicity 1)
2 Ir 0.000 0.000 0.468 (multiplicity 1)
3 Ir 0.500 0.500 0.223 (multiplicity 1)
4 Au 0.500 0.500 0.750 (multiplicity 1)

Summary:
Calculated formation energy, eV/f.u.: 0.7
N(E_F), states/eV per atom: 0.997